1.
Material: LiCoS2Cl
Method: DFT, PBEsol
State: optimized geometry

Cell: 4.2329 4.2329 4.6987 Å, 90.00 90.00 90.00°
Last column: nearest neighbours and their distance in Å.
Sites, in units of the cell vectors:
Li: 0.0000 0.0000 0.0000  4 S 2.12, 2 Cl 2.35
Co: 0.5000 0.5000 0.5000  4 Cl 2.99, 8 S 3.16
S: 0.0000 0.5000 0.0000  2 Li 2.12
S: 0.5000 0.0000 0.0000  2 Li 2.12
Cl: 0.0000 0.0000 0.5000  2 Li 2.35

Calculated values
The total DFT energy (no corrections) is -3.53 eV/atom. As for the space group: No. 123. Its density of states at the Fermi level is 5.65 states/eV per cell. The value obtained for the spin magnetization is 3.1 μB per cell.


2.
Material: TiAsSe3
Method: DFT, PBEsol
State: optimized geometry

Cell: 4.8333 4.8333 4.8333 Å, 90.00 90.00 90.00°
Last column: nearest neighbours and their distance in Å.
Sites, in units of the cell vectors:
Ti: 0.0000 0.0000 0.0000  6 Se 2.42
As: 0.5000 0.5000 0.5000  12 Se 3.42
Se: 0.0000 0.0000 0.5000  2 Ti 2.42
Se: 0.0000 0.5000 0.0000  2 Ti 2.42
Se: 0.5000 0.0000 0.0000  2 Ti 2.42

Calculated values
The total DFT energy (no corrections) is -4.99 eV/atom. As for the space group: No. 221. Its density of states at the Fermi level is 4.82 states/eV per cell. The value obtained for the spin magnetization is 0.0 μB per cell.


3.
Material: TlAgGe2O
Method: DFT, PBEsol
State: optimized geometry

Cell: 4.4745 4.4745 4.5493 Å, 90.00 90.00 90.00°
Last column: nearest neighbours and their distance in Å.
Sites, in units of the cell vectors:
Tl: 0.0000 0.0000 0.0000  4 Ag 3.16, 8 Ge 3.19
Ag: 0.5000 0.5000 0.0000  2 O 2.27
Ge: 0.0000 0.5000 0.5000  2 O 2.24
Ge: 0.5000 0.0000 0.5000  2 O 2.24
O: 0.5000 0.5000 0.5000  4 Ge 2.24, 2 Ag 2.27

Calculated values
The total DFT energy (no corrections) is -4.14 eV/atom. As for the space group: No. 123. Its density of states at the Fermi level is 3.19 states/eV per cell. The value obtained for the spin magnetization is 0.0 μB per cell.


4.
Material: ZrGa3Pt
Method: DFT, PBEsol
State: optimized geometry

Cell: 4.6920 4.6920 4.6920 Å, 90.00 90.00 90.00°
Last column: nearest neighbours and their distance in Å.
Sites, in units of the cell vectors:
Zr: 0.0000 0.0000 0.0000  12 Ga 3.32
Ga: 0.0000 0.5000 0.5000  2 Pt 2.35
Ga: 0.5000 0.0000 0.5000  2 Pt 2.35
Ga: 0.5000 0.5000 0.0000  2 Pt 2.35
Pt: 0.5000 0.5000 0.5000  6 Ga 2.35

Calculated values
As for the space group: No. 221. Its density of states at the Fermi level is 2.76 states/eV per cell. The value obtained for the calculated formation energy is 0.126 eV/atom. The value obtained for the spin magnetization is 0.0 μB per cell.


5.
Material: Zn3Ag
Method: DFT, PBEsol
State: optimized geometry

Cell: 5.1436 5.1436 5.1436 Å, 147.85 64.48 125.75°
Last column: nearest neighbours and their distance in Å.
Sites, in units of the cell vectors:
Zn: 0.0000 0.0000 0.0000  8 Zn 2.70-2.85, 4 Ag 2.74-2.75
Zn: 0.0886 0.3397 0.7489  3 Ag 2.69-2.72, 9 Zn 2.70-2.85
Zn: 0.5909 0.3397 0.2511  3 Ag 2.69-2.72, 9 Zn 2.70-2.85
Ag: 0.5007 0.0007 0.5000  10 Zn 2.69-2.75, 2 Ag 2.85

Calculated values
As for the space group: No. 44. Its density of states at the Fermi level is 0.84 states/eV per cell. The value obtained for the calculated formation energy is -0.054 eV/atom. The value obtained for the spin magnetization is 0.0 μB per cell.


6.
Material: MgTiCoP3O12
Method: DFT, PBEsol
State: optimized geometry

Cell: 8.3379 8.3379 8.3379 Å, 60.71 60.71 60.71°
Last column: nearest neighbours and their distance in Å.
Sites, in units of the cell vectors:
Mg: 0.0000 0.0000 0.0000  6 O 2.08-2.16
Mg: 0.5000 0.5000 0.5000  6 O 2.08-2.16
Ti: 0.3563 0.3563 0.3563  6 O 1.85-2.02
Ti: 0.8563 0.8563 0.8563  6 O 1.85-2.02
Co: 0.1375 0.1375 0.1375  6 O 1.88-1.91
Co: 0.6375 0.6375 0.6375  6 O 1.88-1.91
P: 0.0342 0.7526 0.4539  4 O 1.51-1.56
P: 0.2526 0.5342 0.9539  4 O 1.51-1.56
P: 0.4539 0.0342 0.7526  4 O 1.51-1.56
P: 0.5342 0.9539 0.2526  4 O 1.51-1.56
P: 0.7526 0.4539 0.0342  4 O 1.51-1.56
P: 0.9539 0.2526 0.5342  4 O 1.51-1.56
O: 0.0512 0.9183 0.2541  1 P 1.55
O: 0.0905 0.7372 0.9425  1 P 1.56
O: 0.1163 0.3201 0.4931  1 P 1.54
O: 0.1883 0.3753 0.9899  1 P 1.51
O: 0.2372 0.5905 0.4425  1 P 1.56
O: 0.2541 0.0512 0.9183  1 P 1.55
O: 0.3201 0.4931 0.1163  1 P 1.54
O: 0.3753 0.9899 0.1883  1 P 1.51
O: 0.4183 0.5512 0.7541  1 P 1.55
O: 0.4425 0.2372 0.5905  1 P 1.56
O: 0.4899 0.8753 0.6883  1 P 1.51
O: 0.4931 0.1163 0.3201  1 P 1.54
O: 0.5512 0.7541 0.4183  1 P 1.55
O: 0.5905 0.4425 0.2372  1 P 1.56
O: 0.6163 0.9931 0.8201  1 P 1.54
O: 0.6883 0.4899 0.8753  1 P 1.51
O: 0.7372 0.9425 0.0905  1 P 1.56
O: 0.7541 0.4183 0.5512  1 P 1.55
O: 0.8201 0.6163 0.9931  1 P 1.54
O: 0.8753 0.6883 0.4899  1 P 1.51
O: 0.9183 0.2541 0.0512  1 P 1.55
O: 0.9425 0.0905 0.7372  1 P 1.56
O: 0.9899 0.1883 0.3753  1 P 1.51
O: 0.9931 0.8201 0.6163  1 P 1.54

Calculated values
The total DFT energy (no corrections) is -7.71 eV/atom. As for the space group: No. 161. The value obtained for the spin magnetization is 0.1 μB per cell.


7.
Material: MgCoNi2
Method: DFT, PBEsol
State: optimized geometry

Cell: 3.6452 3.6452 3.5029 Å, 90.00 90.00 90.00°
Last column: nearest neighbours and their distance in Å.
Sites, in units of the cell vectors:
Mg: 0.0000 0.0000 0.0000  8 Ni 2.53, 4 Co 2.58
Co: 0.5000 0.5000 0.0000  8 Ni 2.53, 4 Mg 2.58
Ni: 0.0000 0.5000 0.5000  4 Co 2.53, 4 Mg 2.53, 4 Ni 2.58
Ni: 0.5000 0.0000 0.5000  4 Co 2.53, 4 Mg 2.53, 4 Ni 2.58

Calculated values
As for the space group: No. 123. Its density of states at the Fermi level is 5.33 states/eV per cell. The value obtained for the calculated formation energy is 0.075 eV/atom. The value obtained for the spin magnetization is 2.4 μB per cell.


8.
Material: Mo2WAu
Method: DFT, PBEsol
State: optimized geometry

Cell: 4.8708 4.8708 5.0874 Å, 96.23 96.23 31.62°
Last column: nearest neighbours and their distance in Å.
Sites, in units of the cell vectors:
Mo: 0.0000 0.0000 0.0000  5 Mo 2.65-2.90, 3 Au 2.81-2.83, 4 W 2.86-2.88
Mo: 0.2451 0.2451 0.7483  5 Mo 2.65-2.90, 3 W 2.77-2.89, 4 Au 2.86-2.88
W: 0.4923 0.4923 0.4961  2 W 2.65, 7 Mo 2.77-2.89, 3 Au 2.82-2.83
Au: 0.7461 0.7461 0.2471  2 Au 2.65, 7 Mo 2.81-2.88, 3 W 2.82-2.83

Calculated values
As for the space group: No. 8. Its density of states at the Fermi level is 2.24 states/eV per cell. The offset from the most stable computed form comes out at 152 meV/atom. The value obtained for the calculated formation energy is 0.294 eV/atom. The value obtained for the spin magnetization is 0.0 μB per cell.


9.
Material: RbSnSe2Br
Method: DFT, PBEsol
State: optimized geometry

Cell: 5.2607 5.2607 5.7406 Å, 90.00 90.00 90.00°
Last column: nearest neighbours and their distance in Å.
Sites, in units of the cell vectors:
Rb: 0.0000 0.0000 0.0000  4 Br 3.72, 8 Se 3.89
Sn: 0.5000 0.5000 0.5000  4 Se 2.63, 2 Br 2.87
Se: 0.0000 0.5000 0.5000  2 Sn 2.63
Se: 0.5000 0.0000 0.5000  2 Sn 2.63
Br: 0.5000 0.5000 0.0000  2 Sn 2.87

Calculated values
The total DFT energy (no corrections) is -3.59 eV/atom. As for the space group: No. 123. Its density of states at the Fermi level is 2.03 states/eV per cell. The value obtained for the spin magnetization is 0.0 μB per cell.


10.
Material: PH2Cl
Method: DFT, PBEsol
State: optimized geometry

Cell: 5.2260 5.2260 5.2260 Å, 120.66 120.66 88.85°
Last column: nearest neighbours and their distance in Å.
Sites, in units of the cell vectors:
P: 0.3750 0.6250 0.7500  4 H 1.59
P: 0.6250 0.3750 0.2500  4 H 1.59
H: 0.0000 0.5000 0.5000  2 P 1.59
H: 0.5000 0.0000 0.0000  2 P 1.59
H: 0.5000 0.5000 0.0000  2 P 1.59
H: 0.5000 0.5000 0.5000  2 P 1.59
Cl: 0.1250 0.8750 0.2500  12 H 3.04-3.08, 4 Cl 3.19, 4 P 3.19
Cl: 0.8750 0.1250 0.7500  12 H 3.04-3.08, 4 Cl 3.19, 4 P 3.19

Calculated values
The total DFT energy (no corrections) is -3.35 eV/atom. As for the space group: No. 141. Its density of states at the Fermi level is 1.01 states/eV per cell. The value obtained for the spin magnetization is 0.0 μB per cell.